(1)
Below is a relaxed structure of Nd2MgAu4, with properties calculated at the PBE-GGA level.

Unit cell a=4.6533 b=4.6533 c=9.7253 alpha=76.16 beta=76.16 gamma=60.00
With the nearest neighbours (Å) after each atom.
Fractional positions:
Au1 0.1383 0.1383 0.5851  4 Nd 3.07-3.08, 3 Au 3.12
Mg1 0.0000 0.0000 0.0000  6 Au 2.78
Au2 0.8617 0.8617 0.4149  4 Nd 3.07-3.08, 3 Au 3.12
Nd1 0.2480 0.2480 0.2561  8 Au 3.07-3.16
Au3 0.6408 0.6408 0.0776  3 Mg 2.78, 3 Au 3.05
Au4 0.3592 0.3592 0.9224  3 Mg 2.78, 3 Au 3.05
Nd2 0.7520 0.7520 0.7439  8 Au 3.07-3.16

## Properties
E_form: -0.645 eV/atom
E: -4.11 eV/atom
Space group: R-3m, No. 166

=====

(2)
Below is a relaxed structure of NdMg2Au6, with properties calculated at the PBE-GGA level.

Unit cell a=3.5121 b=8.1810 c=8.1810 alpha=56.59 beta=77.60 gamma=77.60
With the nearest neighbours (Å) after each atom.
Fractional positions:
Mg1 0.6412 0.8588 0.8588  10 Au 2.87-3.08
Nd1 0.5000 0.5000 0.5000  12 Au 3.08-3.37
Au1 0.8205 0.4979 0.8611  4 Au 2.75-2.84, 1 Mg 2.87
Au2 0.0000 0.1739 0.8261  3 Au 2.70-2.75, 4 Mg 2.97
Au3 0.0000 0.8261 0.1739  3 Au 2.70-2.75, 4 Mg 2.97
Au4 0.1795 0.5021 0.1389  4 Au 2.75-2.84, 1 Mg 2.87
Au5 0.8205 0.8611 0.4979  4 Au 2.75-2.84, 1 Mg 2.87
Mg2 0.3588 0.1412 0.1412  10 Au 2.87-3.08
Au6 0.1795 0.1389 0.5021  4 Au 2.75-2.84, 1 Mg 2.87

## Properties
E_form: -0.491 eV/atom
E: -3.56 eV/atom
Space group: Immm, No. 71